# SrScGaSn2 (PBE, optimized geometry)
data_SrScGaSn2
_cell_length_a 5.501
_cell_length_b 5.501
_cell_length_c 5.943
_cell_angle_alpha 90.00
_cell_angle_beta 90.00
_cell_angle_gamma 90.00
_space_group_name_H-M_alt 'P 4/m m m'
_space_group_IT_number 123
_space_group_name_Hall '-P 4 2'
loop_
_atom_site_label
_atom_site_type_symbol
_atom_site_fract_x
_atom_site_fract_y
_atom_site_fract_z
_atom_site_occupancy
Sr1 Sr 0.000 0.000 0.000 1
Sc1 Sc 0.000 0.000 0.500 1
Ga1 Ga 0.500 0.500 0.000 1
Sn1 Sn 0.000 0.500 0.500 1
# **E_tot**: -3.515 eV per atom
# **Crystal system**: tetragonal

# BeCoNi2 (PBE, optimized geometry)
data_BeCoNi2
_cell_length_a 3.436
_cell_length_b 3.436
_cell_length_c 3.442
_cell_angle_alpha 90.00
_cell_angle_beta 90.00
_cell_angle_gamma 90.00
_space_group_name_H-M_alt 'P 4/m m m'
_space_group_IT_number 123
_space_group_name_Hall '-P 4 2'
loop_
_atom_site_label
_atom_site_type_symbol
_atom_site_fract_x
_atom_site_fract_y
_atom_site_fract_z
_atom_site_occupancy
Be1 Be 0.000 0.000 0.000 1
Co1 Co 0.500 0.500 0.000 1
Ni1 Ni 0.000 0.500 0.500 1
# **E_tot**: -5.687 eV per atom
# **Crystal system**: tetragonal

# CuC4I2 (PBE, optimized geometry)
data_CuC4I2
_cell_length_a 3.686
_cell_length_b 3.686
_cell_length_c 17.099
_cell_angle_alpha 90.00
_cell_angle_beta 90.00
_cell_angle_gamma 90.00
_space_group_name_H-M_alt 'I 4/m m m'
_space_group_IT_number 139
_space_group_name_Hall '-I 4 2'
loop_
_atom_site_label
_atom_site_type_symbol
_atom_site_fract_x
_atom_site_fract_y
_atom_site_fract_z
_atom_site_occupancy
Cu1 Cu 0.000 0.000 0.000 1
C1 C 0.000 0.000 0.196 1
C2 C 0.000 0.500 0.000 1
I1 I 0.000 0.000 0.323 1
# **Raw formation energy**: 2.65 eV/atom
# **Crystal system**: tetragonal

# CeNd6Tm8 (PBE, optimized geometry)
data_CeNd6Tm8
_cell_length_a 9.0125
_cell_length_b 9.0125
_cell_length_c 20.8133
_cell_angle_alpha 90.00
_cell_angle_beta 90.00
_cell_angle_gamma 120.00
_space_group_name_H-M_alt 'R -3'
_space_group_IT_number 148
_space_group_name_Hall '-R 3'
loop_
_atom_site_label
_atom_site_type_symbol
_atom_site_fract_x
_atom_site_fract_y
_atom_site_fract_z
_atom_site_occupancy
Ce1 Ce 0.0000 0.0000 0.0000 1
Nd1 Nd 0.0614 0.2503 0.7110 1
Tm1 Tm 0.0000 0.0000 0.4230 1
Tm2 Tm 0.0808 0.5637 0.8061 1
# **E_tot**: -4.560 eV per atom
# **Crystal system**: trigonal

# TaPSe2 (PBE, optimized geometry)
data_TaPSe2
_cell_length_a 3.273
_cell_length_b 4.421
_cell_length_c 13.434
_cell_angle_alpha 90.00
_cell_angle_beta 90.00
_cell_angle_gamma 90.00
_space_group_name_H-M_alt 'I m m 2'
_space_group_IT_number 44
_space_group_name_Hall 'I 2 -2'
loop_
_atom_site_label
_atom_site_type_symbol
_atom_site_fract_x
_atom_site_fract_y
_atom_site_fract_z
_atom_site_occupancy
Ta1 Ta 0.000 0.000 0.000 1
P1 P 0.000 0.500 0.351 1
Se1 Se 0.000 0.000 0.440 1
Se2 Se 0.000 0.500 0.645 1
# **Raw formation energy**: -0.06 eV/atom
# **Crystal system**: orthorhombic

# ReRh (PBE, optimized geometry)
data_ReRh
_cell_length_a 3.904
_cell_length_b 3.904
_cell_length_c 15.313
_cell_angle_alpha 90.00
_cell_angle_beta 90.00
_cell_angle_gamma 90.00
_space_group_name_H-M_alt 'I 4/m m m'
_space_group_IT_number 139
_space_group_name_Hall '-I 4 2'
loop_
_atom_site_label
_atom_site_type_symbol
_atom_site_fract_x
_atom_site_fract_y
_atom_site_fract_z
_atom_site_occupancy
Re1 Re 0.000 0.000 0.131 1
Re2 Re 0.000 0.500 0.250 1
Rh1 Rh 0.000 0.000 0.378 1
Rh2 Rh 0.000 0.500 0.000 1
# **Crystal system**: tetragonal
# **Polymorph energy (0 for the lowest one)**: 109 meV per atom